[1]
# Cd4BiAs2 PBE-GGA relaxed
data_Cd4BiAs2
_chemical_formula_sum 'Cd8 Bi2 As4'
_symmetry_space_group_name_H-M 'C m m m'
_symmetry_Int_Tables_number 65
_symmetry_space_group_name_Hall '-C 2 2'
_cell_length_a 7.9011
_cell_length_b 11.1044
_cell_length_c 3.8871
_cell_angle_alpha 90.00
_cell_angle_beta 90.00
_cell_angle_gamma 90.00
loop_
_atom_site_label
_atom_site_fract_x
_atom_site_fract_y
_atom_site_fract_z
_atom_site_occupancy
Cd1 0.0000 0.2210 0.0000 1
Cd2 0.1853 0.0000 0.5000 1
Bi1 0.0000 0.5000 0.0000 1
As1 0.2500 0.2500 0.5000 1
# * calculated total energy: -2.271 eV/atom

***

[2]
# CdBiAs PBE-GGA relaxed
data_CdBiAs
_chemical_formula_sum 'Cd4 Bi4 As4'
_symmetry_space_group_name_H-M 'F -4 3 m'
_symmetry_Int_Tables_number 216
_symmetry_space_group_name_Hall 'F -4 2 3'
_cell_length_a 7.0287
_cell_length_b 7.0287
_cell_length_c 7.0287
_cell_angle_alpha 90.00
_cell_angle_beta 90.00
_cell_angle_gamma 90.00
loop_
_atom_site_label
_atom_site_fract_x
_atom_site_fract_y
_atom_site_fract_z
_atom_site_occupancy
Cd1 0.0000 0.0000 0.0000 1
Bi1 0.0000 0.0000 0.5000 1
As1 0.2500 0.2500 0.7500 1
# * offset from the most stable computed form: 0 meV/atom

***

[3]
# Li2Cd2BiAs PBE-GGA relaxed
data_Li2Cd2BiAs
_chemical_formula_sum 'Li8 Cd8 Bi4 As4'
_symmetry_space_group_name_H-M 'P 1 m 1'
_symmetry_Int_Tables_number 6
_cell_length_a 11.3214
_cell_length_b 4.7238
_cell_length_c 11.5107
_cell_angle_alpha 90.00
_cell_angle_beta 113.56
_cell_angle_gamma 90.00
loop_
_symmetry_equiv_pos_as_xyz
'x,y,z'
'x,-y,z'
loop_
_atom_site_label
_atom_site_fract_x
_atom_site_fract_y
_atom_site_fract_z
_atom_site_occupancy
Li1 0.0000 0.0000 0.0000 1
Li2 0.0509 0.5000 0.4046 1
Li3 0.2612 0.0000 0.6821 1
Li4 0.3297 0.5000 0.0888 1
Li5 0.4653 0.0000 0.4249 1
Li6 0.5924 0.5000 0.8792 1
Li7 0.7774 0.0000 0.2668 1
Li8 0.8592 0.5000 0.6509 1
Cd1 0.0355 0.0000 0.2630 1
Cd2 0.1135 0.5000 0.6521 1
Cd3 0.2215 0.0000 0.9409 1
Cd4 0.3106 0.5000 0.3295 1
Cd5 0.5263 0.0000 0.7167 1
Cd6 0.6062 0.5000 0.1331 1
Cd7 0.7650 0.0000 0.5107 1
Cd8 0.8559 0.5000 0.8825 1
Bi1 0.3600 0.5000 0.6000 1
Bi2 0.4894 0.0000 0.9700 1
Bi3 0.6093 0.5000 0.3851 1
Bi4 0.8701 0.5000 0.1386 1
As1 0.0079 0.0000 0.5024 1
As2 0.0951 0.5000 0.8739 1
As3 0.2427 0.0000 0.2012 1
As4 0.7717 0.0000 0.7528 1
# * calculated total energy: -2.669 eV/atom

***

[4]
# Cd2BiAsO6 PBE-GGA relaxed
data_Cd2BiAsO6
_chemical_formula_sum 'Cd8 Bi4 As4 O24'
_symmetry_space_group_name_H-M 'C m c 21'
_symmetry_Int_Tables_number 36
_cell_length_a 8.6731
_cell_length_b 11.8369
_cell_length_c 5.4841
_cell_angle_alpha 90.00
_cell_angle_beta 90.00
_cell_angle_gamma 90.00
loop_
_symmetry_equiv_pos_as_xyz
'x,y,z'
'-x,-y,z+1/2'
'-x,y,z'
'x,-y,z+1/2'
'x+1/2,y+1/2,z'
'-x+1/2,-y+1/2,z+1/2'
'-x+1/2,y+1/2,z'
'x+1/2,-y+1/2,z+1/2'
loop_
_atom_site_label
_atom_site_fract_x
_atom_site_fract_y
_atom_site_fract_z
_atom_site_occupancy
Cd1 0.1955 0.1035 0.0000 1
Bi1 0.0000 0.4024 0.9916 1
As1 0.0000 0.1809 0.5380 1
O1 0.0000 0.0468 0.6619 1
O2 0.0000 0.1884 0.2226 1
O3 0.1548 0.4966 0.2517 1
O4 0.1623 0.2436 0.6588 1
# * calculated total energy: -5.255 eV/atom

***

[5]
# Rb2Cd2BiAs PBE-GGA relaxed
data_Rb2Cd2BiAs
_chemical_formula_sum 'Rb2 Cd2 Bi1 As1'
_symmetry_space_group_name_H-M 'P 4 m m'
_symmetry_Int_Tables_number 99
_cell_length_a 4.8204
_cell_length_b 4.8204
_cell_length_c 8.5035
_cell_angle_alpha 90.00
_cell_angle_beta 90.00
_cell_angle_gamma 90.00
loop_
_symmetry_equiv_pos_as_xyz
'x,y,z'
'-y,x,z'
'-x,-y,z'
'y,-x,z'
'-x,y,z'
'y,x,z'
'x,-y,z'
'-y,-x,z'
loop_
_atom_site_label
_atom_site_fract_x
_atom_site_fract_y
_atom_site_fract_z
_atom_site_occupancy
Rb1 0.0000 0.0000 0.0000 1
Rb2 0.5000 0.5000 0.3031 1
Cd1 0.0000 0.5000 0.6721 1
Bi1 0.0000 0.0000 0.4531 1
As1 0.5000 0.5000 0.8619 1
# * calculated total energy: -2.418 eV/atom

***

[6]
# CoBiAs PBE-GGA relaxed
data_CoBiAs
_chemical_formula_sum 'Co4 Bi4 As4'
_symmetry_space_group_name_H-M 'F -4 3 m'
_symmetry_Int_Tables_number 216
_symmetry_space_group_name_Hall 'F -4 2 3'
_cell_length_a 6.1980
_cell_length_b 6.1980
_cell_length_c 6.1980
_cell_angle_alpha 90.00
_cell_angle_beta 90.00
_cell_angle_gamma 90.00
loop_
_atom_site_label
_atom_site_fract_x
_atom_site_fract_y
_atom_site_fract_z
_atom_site_occupancy
Co1 0.0000 0.0000 0.0000 1
Bi1 0.2500 0.2500 0.2500 1
As1 0.2500 0.2500 0.7500 1
# * calculated total energy: -5.141 eV/atom

***

[7]
# Hf2Co2BiAs PBE-GGA relaxed
data_Hf2Co2BiAs
_chemical_formula_sum 'Hf8 Co8 Bi4 As4'
_symmetry_space_group_name_H-M 'P 1 m 1'
_symmetry_Int_Tables_number 6
_cell_length_a 10.4879
_cell_length_b 4.1824
_cell_length_c 10.9510
_cell_angle_alpha 90.00
_cell_angle_beta 106.75
_cell_angle_gamma 90.00
loop_
_symmetry_equiv_pos_as_xyz
'x,y,z'
'x,-y,z'
loop_
_atom_site_label
_atom_site_fract_x
_atom_site_fract_y
_atom_site_fract_z
_atom_site_occupancy
Hf1 0.0000 0.0000 0.0000 1
Hf2 0.0060 0.0000 0.4481 1
Hf3 0.1135 0.5000 0.8266 1
Hf4 0.2864 0.5000 0.3166 1
Hf5 0.3278 0.0000 0.5301 1
Hf6 0.5444 0.0000 0.1000 1
Hf7 0.5806 0.5000 0.3508 1
Hf8 0.7449 0.5000 0.0193 1
Co1 0.1564 0.0000 0.2963 1
Co2 0.2375 0.0000 0.9269 1
Co3 0.2794 0.5000 0.6429 1
Co4 0.4042 0.5000 0.1400 1
Co5 0.6039 0.0000 0.5497 1
Co6 0.8127 0.0000 0.1584 1
Co7 0.8409 0.5000 0.3722 1
Co8 0.8874 0.5000 0.8676 1
Bi1 0.4346 0.5000 0.8910 1
Bi2 0.7067 0.0000 0.8047 1
Bi3 0.8207 0.5000 0.6083 1
Bi4 0.9960 0.5000 0.2298 1
As1 0.1728 0.0000 0.6890 1
As2 0.2878 0.0000 0.1449 1
As3 0.4907 0.5000 0.5622 1
As4 0.7317 0.0000 0.3397 1
# * calculated total energy: -7.360 eV/atom

***

[8]
# Cs4Cu2BiAs PBE-GGA relaxed
data_Cs4Cu2BiAs
_chemical_formula_sum 'Cs8 Cu4 Bi2 As2'
_symmetry_space_group_name_H-M 'A m m 2'
_symmetry_Int_Tables_number 38
_cell_length_a 6.8038
_cell_length_b 11.5992
_cell_length_c 7.9184
_cell_angle_alpha 90.00
_cell_angle_beta 90.00
_cell_angle_gamma 90.00
loop_
_symmetry_equiv_pos_as_xyz
'x,y,z'
'-x,-y,z'
'-x,y,z'
'x,-y,z'
'x,y+1/2,z+1/2'
'-x,-y+1/2,z+1/2'
'-x,y+1/2,z+1/2'
'x,-y+1/2,z+1/2'
loop_
_atom_site_label
_atom_site_fract_x
_atom_site_fract_y
_atom_site_fract_z
_atom_site_occupancy
Cs1 0.0000 0.1605 0.0000 1
Cs2 0.5000 0.1711 0.6760 1
Cu1 0.2902 0.0000 0.3124 1
Bi1 0.0000 0.0000 0.5333 1
As1 0.5000 0.0000 0.0797 1
# * calculated total energy: -2.719 eV/atom

***

[9]
# Cs2Hg2BiAs PBE-GGA relaxed
data_Cs2Hg2BiAs
_chemical_formula_sum 'Cs2 Hg2 Bi1 As1'
_symmetry_space_group_name_H-M 'P -6 m 2'
_symmetry_Int_Tables_number 187
_symmetry_space_group_name_Hall 'P -6 2'
_cell_length_a 4.9142
_cell_length_b 4.9142
_cell_length_c 11.7325
_cell_angle_alpha 90.00
_cell_angle_beta 90.00
_cell_angle_gamma 120.00
loop_
_atom_site_label
_atom_site_fract_x
_atom_site_fract_y
_atom_site_fract_z
_atom_site_occupancy
Cs1 0.0000 0.0000 0.2365 1
Hg1 0.3333 0.6667 0.0000 1
Hg2 0.6667 0.3333 0.5000 1
Bi1 0.3333 0.6667 0.5000 1
As1 0.6667 0.3333 0.0000 1
# * calculated total energy: -2.150 eV/atom

***

[10]
# CuBiAs PBE-GGA relaxed
data_CuBiAs
_chemical_formula_sum 'Cu4 Bi4 As4'
_symmetry_space_group_name_H-M 'F -4 3 m'
_symmetry_Int_Tables_number 216
_symmetry_space_group_name_Hall 'F -4 2 3'
_cell_length_a 6.7619
_cell_length_b 6.7619
_cell_length_c 6.7619
_cell_angle_alpha 90.00
_cell_angle_beta 90.00
_cell_angle_gamma 90.00
loop_
_atom_site_label
_atom_site_fract_x
_atom_site_fract_y
_atom_site_fract_z
_atom_site_occupancy
Cu1 0.0000 0.0000 0.0000 1
Bi1 0.2500 0.2500 0.7500 1
As1 0.0000 0.0000 0.5000 1
# * offset from the most stable computed form: 331 meV/atom

***

[11]
# CuBi2As PBE-GGA relaxed
data_CuBi2As
_chemical_formula_sum 'Cu4 Bi8 As4'
_symmetry_space_group_name_H-M 'F -4 3 m'
_symmetry_Int_Tables_number 216
_symmetry_space_group_name_Hall 'F -4 2 3'
_cell_length_a 7.3305
_cell_length_b 7.3305
_cell_length_c 7.3305
_cell_angle_alpha 90.00
_cell_angle_beta 90.00
_cell_angle_gamma 90.00
loop_
_atom_site_label
_atom_site_fract_x
_atom_site_fract_y
_atom_site_fract_z
_atom_site_occupancy
Cu1 0.0000 0.0000 0.0000 1
Bi1 0.0000 0.0000 0.5000 1
Bi2 0.2500 0.2500 0.2500 1
As1 0.2500 0.2500 0.7500 1
# * calculated total energy: -3.682 eV/atom

***

[12]
# CuBiAsF PBE-GGA relaxed
data_CuBiAsF
_chemical_formula_sum 'Cu8 Bi8 As8 F8'
_symmetry_space_group_name_H-M 'P b a m'
_symmetry_Int_Tables_number 55
_cell_length_a 9.5331
_cell_length_b 17.9514
_cell_length_c 3.9383
_cell_angle_alpha 90.00
_cell_angle_beta 90.00
_cell_angle_gamma 90.00
loop_
_symmetry_equiv_pos_as_xyz
'x,y,z'
'-x,-y,-z'
'-x,-y,z'
'x,y,-z'
'x+1/2,-y+1/2,-z'
'-x+1/2,y+1/2,z'
'-x+1/2,y+1/2,-z'
'x+1/2,-y+1/2,z'
loop_
_atom_site_label
_atom_site_fract_x
_atom_site_fract_y
_atom_site_fract_z
_atom_site_occupancy
Cu1 0.1073 0.1314 0.0000 1
Cu2 0.1447 0.5973 0.0000 1
Bi1 0.0221 0.7260 0.5000 1
Bi2 0.2424 0.4103 0.5000 1
As1 0.1802 0.0026 0.0000 1
As2 0.2232 0.7309 0.0000 1
F1 0.0085 0.8614 0.5000 1
F2 0.0176 0.5866 0.5000 1
# * offset from the most stable computed form: 190 meV/atom

***

[13]
# CuBiAsF PBE-GGA relaxed
data_CuBiAsF
_chemical_formula_sum 'Cu2 Bi2 As2 F2'
_symmetry_space_group_name_H-M 'P 4/n m m'
_symmetry_Int_Tables_number 129
_cell_length_a 3.9080
_cell_length_b 3.9080
_cell_length_c 8.9558
_cell_angle_alpha 90.00
_cell_angle_beta 90.00
_cell_angle_gamma 90.00
loop_
_symmetry_equiv_pos_as_xyz
'x,y,z'
'-x,-y,-z'
'-y+1/2,x,z'
'y+1/2,-x,-z'
'-x+1/2,-y+1/2,z'
'x+1/2,y+1/2,-z'
'y,-x+1/2,z'
'-y,x+1/2,-z'
'x+1/2,-y,-z'
'-x+1/2,y,z'
'-y,-x,-z'
'y,x,z'
'-x,y+1/2,-z'
'x,-y+1/2,z'
'y+1/2,x+1/2,-z'
'-y+1/2,-x+1/2,z'
loop_
_atom_site_label
_atom_site_fract_x
_atom_site_fract_y
_atom_site_fract_z
_atom_site_occupancy
Cu1 0.2500 0.7500 0.0000 1
Bi1 0.2500 0.2500 0.3131 1
As1 0.2500 0.2500 0.8180 1
F1 0.2500 0.7500 0.5000 1
# * offset from the most stable computed form: 23 meV/atom

***

[14]
# CuBiAsF PBE-GGA relaxed
data_CuBiAsF
_chemical_formula_sum 'Cu6 Bi6 As6 F6'
_symmetry_space_group_name_H-M 'R -3 m'
_symmetry_Int_Tables_number 166
_symmetry_space_group_name_Hall '-R 3 2"'
_cell_length_a 3.8690
_cell_length_b 3.8690
_cell_length_c 34.1471
_cell_angle_alpha 90.00
_cell_angle_beta 90.00
_cell_angle_gamma 120.00
loop_
_atom_site_label
_atom_site_fract_x
_atom_site_fract_y
_atom_site_fract_z
_atom_site_occupancy
Cu1 0.0000 0.0000 0.1273 1
Bi1 0.0000 0.0000 0.2952 1
As1 0.0000 0.0000 0.4228 1
F1 0.0000 0.0000 0.1878 1
# * offset from the most stable computed form: 257 meV/atom

***

[15]
# CuBiAsF PBE-GGA relaxed
data_CuBiAsF
_chemical_formula_sum 'Cu4 Bi4 As4 F4'
_symmetry_space_group_name_H-M 'P 21 21 21'
_symmetry_Int_Tables_number 19
_cell_length_a 6.3164
_cell_length_b 6.3636
_cell_length_c 7.8531
_cell_angle_alpha 90.00
_cell_angle_beta 90.00
_cell_angle_gamma 90.00
loop_
_symmetry_equiv_pos_as_xyz
'x,y,z'
'-x+1/2,-y,z+1/2'
'x+1/2,-y+1/2,-z'
'-x,y+1/2,-z+1/2'
loop_
_atom_site_label
_atom_site_fract_x
_atom_site_fract_y
_atom_site_fract_z
_atom_site_occupancy
Cu1 0.1960 0.0173 0.3683 1
Bi1 0.2362 0.4390 0.2352 1
As1 0.1423 0.1471 0.6384 1
F1 0.1397 0.6509 0.4710 1
# * offset from the most stable computed form: 63 meV/atom

***

[16]
# CuBiAsF PBE-GGA relaxed
data_CuBiAsF
_chemical_formula_sum 'Cu2 Bi2 As2 F2'
_symmetry_space_group_name_H-M 'P 4/n m m'
_symmetry_Int_Tables_number 129
_cell_length_a 3.6334
_cell_length_b 3.6334
_cell_length_c 10.5818
_cell_angle_alpha 90.00
_cell_angle_beta 90.00
_cell_angle_gamma 90.00
loop_
_symmetry_equiv_pos_as_xyz
'x,y,z'
'-x,-y,-z'
'-y+1/2,x,z'
'y+1/2,-x,-z'
'-x+1/2,-y+1/2,z'
'x+1/2,y+1/2,-z'
'y,-x+1/2,z'
'-y,x+1/2,-z'
'x+1/2,-y,-z'
'-x+1/2,y,z'
'-y,-x,-z'
'y,x,z'
'-x,y+1/2,-z'
'x,-y+1/2,z'
'y+1/2,x+1/2,-z'
'-y+1/2,-x+1/2,z'
loop_
_atom_site_label
_atom_site_fract_x
_atom_site_fract_y
_atom_site_fract_z
_atom_site_occupancy
Cu1 0.2500 0.2500 0.1887 1
Bi1 0.2500 0.2500 0.6678 1
As1 0.2500 0.2500 0.9541 1
F1 0.2500 0.7500 0.5000 1
# * offset from the most stable computed form: 195 meV/atom

***

[17]
# CuBiAsF PBE-GGA relaxed
data_CuBiAsF
_chemical_formula_sum 'Cu2 Bi2 As2 F2'
_symmetry_space_group_name_H-M 'P 4/n m m'
_symmetry_Int_Tables_number 129
_cell_length_a 4.6579
_cell_length_b 4.6579
_cell_length_c 8.2501
_cell_angle_alpha 90.00
_cell_angle_beta 90.00
_cell_angle_gamma 90.00
loop_
_symmetry_equiv_pos_as_xyz
'x,y,z'
'-x,-y,-z'
'-y+1/2,x,z'
'y+1/2,-x,-z'
'-x+1/2,-y+1/2,z'
'x+1/2,y+1/2,-z'
'y,-x+1/2,z'
'-y,x+1/2,-z'
'x+1/2,-y,-z'
'-x+1/2,y,z'
'-y,-x,-z'
'y,x,z'
'-x,y+1/2,-z'
'x,-y+1/2,z'
'y+1/2,x+1/2,-z'
'-y+1/2,-x+1/2,z'
loop_
_atom_site_label
_atom_site_fract_x
_atom_site_fract_y
_atom_site_fract_z
_atom_site_occupancy
Cu1 0.2500 0.2500 0.0049 1
Bi1 0.2500 0.7500 0.5000 1
As1 0.2500 0.2500 0.2867 1
F1 0.2500 0.7500 0.0000 1
# * offset from the most stable computed form: 482 meV/atom

***

[18]
# CuBiAsF PBE-GGA relaxed
data_CuBiAsF
_chemical_formula_sum 'Cu6 Bi6 As6 F6'
_symmetry_space_group_name_H-M 'R -3 m'
_symmetry_Int_Tables_number 166
_symmetry_space_group_name_Hall '-R 3 2"'
_cell_length_a 4.1045
_cell_length_b 4.1045
_cell_length_c 30.7342
_cell_angle_alpha 90.00
_cell_angle_beta 90.00
_cell_angle_gamma 120.00
loop_
_atom_site_label
_atom_site_fract_x
_atom_site_fract_y
_atom_site_fract_z
_atom_site_occupancy
Cu1 0.0000 0.0000 0.1931 1
Bi1 0.0000 0.0000 0.3934 1
As1 0.0000 0.0000 0.1138 1
F1 0.0000 0.0000 0.3062 1
# * offset from the most stable computed form: 0 meV/atom

***

[19]
# CuBiAsF PBE-GGA relaxed
data_CuBiAsF
_chemical_formula_sum 'Cu8 Bi8 As8 F8'
_symmetry_space_group_name_H-M 'P b a m'
_symmetry_Int_Tables_number 55
_cell_length_a 8.9665
_cell_length_b 17.7322
_cell_length_c 3.8879
_cell_angle_alpha 90.00
_cell_angle_beta 90.00
_cell_angle_gamma 90.00
loop_
_symmetry_equiv_pos_as_xyz
'x,y,z'
'-x,-y,-z'
'-x,-y,z'
'x,y,-z'
'x+1/2,-y+1/2,-z'
'-x+1/2,y+1/2,z'
'-x+1/2,y+1/2,-z'
'x+1/2,-y+1/2,z'
loop_
_atom_site_label
_atom_site_fract_x
_atom_site_fract_y
_atom_site_fract_z
_atom_site_occupancy
Cu1 0.1475 0.2099 0.0000 1
Cu2 0.1756 0.5992 0.0000 1
Bi1 0.0535 0.7389 0.5000 1
Bi2 0.2024 0.9063 0.5000 1
As1 0.0271 0.5705 0.5000 1
As2 0.1503 0.1240 0.5000 1
F1 0.1635 0.9763 0.0000 1
F2 0.2319 0.3320 0.0000 1
# * offset from the most stable computed form: 100 meV/atom

***

[20]
# CuBiAsF PBE-GGA relaxed
data_CuBiAsF
_chemical_formula_sum 'Cu4 Bi4 As4 F4'
_symmetry_space_group_name_H-M 'P 21 21 21'
_symmetry_Int_Tables_number 19
_cell_length_a 5.6300
_cell_length_b 6.9640
_cell_length_c 7.4777
_cell_angle_alpha 90.00
_cell_angle_beta 90.00
_cell_angle_gamma 90.00
loop_
_symmetry_equiv_pos_as_xyz
'x,y,z'
'-x+1/2,-y,z+1/2'
'x+1/2,-y+1/2,-z'
'-x,y+1/2,-z+1/2'
loop_
_atom_site_label
_atom_site_fract_x
_atom_site_fract_y
_atom_site_fract_z
_atom_site_occupancy
Cu1 0.1269 0.1031 0.3439 1
Bi1 0.0908 0.5604 0.6818 1
As1 0.1434 0.8618 0.1189 1
F1 0.0895 0.3437 0.9426 1
# * offset from the most stable computed form: 66 meV/atom